Record 1
A geometry-optimized TmCo2Mo structure. Source: the Alexandria database, functional PBE.

Cell and atoms, written as CIF:
```
data_TmCo2Mo
_chemical_formula_sum 'Tm3 Co6 Mo3'
_cell_length_a 4.0863
_cell_length_b 4.0863
_cell_length_c 14.1053
_cell_angle_alpha 90.00
_cell_angle_beta 90.00
_cell_angle_gamma 120.00
_space_group_name_H-M_alt 'R -3 m'
_space_group_IT_number 166
_space_group_name_Hall '-R 3 2"'
loop_
_atom_site_label
_atom_site_type_symbol
_atom_site_fract_x
_atom_site_fract_y
_atom_site_fract_z
Tm1 Tm 0.0000 0.0000 0.0000
Co1 Co 0.0000 0.0000 0.2040
Mo1 Mo 0.0000 0.0000 0.5000
```

The density of states at the Fermi level is 13.659 states/eV/cell. As for the energy of formation from the pure elements: 0.00 eV/atom. As for the density: 9.3 Mg/m³.

Record 2
A geometry-optimized UCo2Mo structure. Source: the Alexandria database, functional PBE.

Cell and atoms, written as CIF:
```
data_UCo2Mo
_chemical_formula_sum 'U1 Co2 Mo1'
_cell_length_a 3.910
_cell_length_b 3.910
_cell_length_c 3.823
_cell_angle_alpha 90.00
_cell_angle_beta 90.00
_cell_angle_gamma 90.00
_space_group_name_H-M_alt 'P 4/m m m'
_space_group_IT_number 123
_space_group_name_Hall '-P 4 2'
loop_
_atom_site_label
_atom_site_type_symbol
_atom_site_fract_x
_atom_site_fract_y
_atom_site_fract_z
U1 U 0.000 0.000 0.000
Co1 Co 0.000 0.500 0.500
Mo1 Mo 0.500 0.500 0.000
```

The density of states at the Fermi level is 4.507 states/eV/cell. As for the energy of formation from the pure elements: -0.02 eV/atom. As for the density: 12.8 Mg/m³. The calculation puts the energy above the lowest structure with this stoichiometry at 0.0000 eV per atom.

Record 3
A geometry-optimized UCo2Mo structure. Source: the Alexandria database, functional PBE.

Cell and atoms, written as CIF:
```
data_UCo2Mo
_chemical_formula_sum 'U3 Co6 Mo3'
_cell_length_a 2.8687
_cell_length_b 2.8687
_cell_length_c 25.5041
_cell_angle_alpha 90.00
_cell_angle_beta 90.00
_cell_angle_gamma 120.00
_space_group_name_H-M_alt 'R -3 m'
_space_group_IT_number 166
_space_group_name_Hall '-R 3 2"'
loop_
_atom_site_label
_atom_site_type_symbol
_atom_site_fract_x
_atom_site_fract_y
_atom_site_fract_z
U1 U 0.0000 0.0000 0.0000
Co1 Co 0.0000 0.0000 0.0879
Mo1 Mo 0.0000 0.0000 0.5000
```

The density of states at the Fermi level is 17.416 states/eV/cell. As for the energy of formation from the pure elements: 0.44 eV/atom. As for the density: 12.4 Mg/m³. The calculation puts the energy above the lowest structure with this stoichiometry at 0.4581 eV per atom.

Record 4
A geometry-optimized UCoMo2 structure. Source: the Alexandria database, functional PBE.

Cell and atoms, written as CIF:
```
data_UCoMo2
_chemical_formula_sum 'U3 Co3 Mo6'
_cell_length_a 2.7422
_cell_length_b 2.7422
_cell_length_c 31.0552
_cell_angle_alpha 90.00
_cell_angle_beta 90.00
_cell_angle_gamma 120.00
_space_group_name_H-M_alt 'R -3 m'
_space_group_IT_number 166
_space_group_name_Hall '-R 3 2"'
loop_
_atom_site_label
_atom_site_type_symbol
_atom_site_fract_x
_atom_site_fract_y
_atom_site_fract_z
U1 U 0.0000 0.0000 0.0000
Co1 Co 0.0000 0.0000 0.5000
Mo1 Mo 0.0000 0.0000 0.4235
```

The density of states at the Fermi level is 19.013 states/eV/cell. As for the energy of formation from the pure elements: 0.72 eV/atom. As for the density: 12.0 Mg/m³.

Record 5
A geometry-optimized VCo5Mo structure. Source: the Alexandria database, functional PBE.

Cell and atoms, written as CIF:
```
data_VCo5Mo
_chemical_formula_sum 'V1 Co5 Mo1'
_cell_length_a 3.486
_cell_length_b 3.486
_cell_length_c 7.092
_cell_angle_alpha 90.00
_cell_angle_beta 90.00
_cell_angle_gamma 90.00
_space_group_name_H-M_alt 'P 4/m m m'
_space_group_IT_number 123
_space_group_name_Hall '-P 4 2'
loop_
_atom_site_label
_atom_site_type_symbol
_atom_site_fract_x
_atom_site_fract_y
_atom_site_fract_z
V1 V 0.000 0.000 0.000
Co1 Co 0.000 0.500 0.252
Co2 Co 0.500 0.500 0.000
Mo1 Mo 0.500 0.500 0.500
```

The density of states at the Fermi level is 9.386 states/eV/cell. As for the energy of formation from the pure elements: 0.20 eV/atom. As for the density: 8.5 Mg/m³.

Record 6
A geometry-optimized V4Co2Mo structure. Source: the Alexandria database, functional PBE.

Cell and atoms, written as CIF:
```
data_V4Co2Mo
_chemical_formula_sum 'V8 Co4 Mo2'
_cell_length_a 4.468
_cell_length_b 4.468
_cell_length_c 11.750
_cell_angle_alpha 90.00
_cell_angle_beta 90.00
_cell_angle_gamma 90.00
_space_group_name_H-M_alt 'I 4/m m m'
_space_group_IT_number 139
_space_group_name_Hall '-I 4 2'
loop_
_atom_site_label
_atom_site_type_symbol
_atom_site_fract_x
_atom_site_fract_y
_atom_site_fract_z
V1 V 0.000 0.000 0.210
V2 V 0.000 0.500 0.000
Co1 Co 0.000 0.000 0.395
Mo1 Mo 0.000 0.000 0.000
```

The density of states at the Fermi level is 21.817 states/eV/cell. As for the energy of formation from the pure elements: 1.11 eV/atom. As for the density: 5.9 Mg/m³.

Record 7
A geometry-optimized V5CoMo4 structure. Source: the Alexandria database, functional PBE.

Cell and atoms, written as CIF:
```
data_V5CoMo4
_chemical_formula_sum 'V5 Co1 Mo4'
_cell_length_a 3.057
_cell_length_b 3.057
_cell_length_c 15.074
_cell_angle_alpha 90.00
_cell_angle_beta 90.00
_cell_angle_gamma 90.00
_space_group_name_H-M_alt 'P 4/m m m'
_space_group_IT_number 123
_space_group_name_Hall '-P 4 2'
loop_
_atom_site_label
_atom_site_type_symbol
_atom_site_fract_x
_atom_site_fract_y
_atom_site_fract_z
V1 V 0.000 0.000 0.000
V2 V 0.000 0.000 0.206
V3 V 0.000 0.000 0.406
Co1 Co 0.500 0.500 0.500
Mo1 Mo 0.500 0.500 0.102
Mo2 Mo 0.500 0.500 0.308
```

The density of states at the Fermi level is 8.356 states/eV/cell. As for the energy of formation from the pure elements: -0.11 eV/atom. As for the density: 8.2 Mg/m³.

Record 8
A geometry-optimized VCo6Mo structure. Source: the Alexandria database, functional PBE.

Cell and atoms, written as CIF:
```
data_VCo6Mo
_chemical_formula_sum 'V1 Co6 Mo1'
_cell_length_a 5.022
_cell_length_b 5.022
_cell_length_c 3.558
_cell_angle_alpha 90.00
_cell_angle_beta 90.00
_cell_angle_gamma 90.00
_space_group_name_H-M_alt 'P 4/m m m'
_space_group_IT_number 123
_space_group_name_Hall '-P 4 2'
loop_
_atom_site_label
_atom_site_type_symbol
_atom_site_fract_x
_atom_site_fract_y
_atom_site_fract_z
V1 V 0.000 0.000 0.000
Co1 Co 0.000 0.500 0.000
Co2 Co 0.247 0.247 0.500
Mo1 Mo 0.500 0.500 0.000
```

The density of states at the Fermi level is 7.661 states/eV/cell. As for the energy of formation from the pure elements: -0.09 eV/atom. As for the density: 9.3 Mg/m³.

Record 9
A geometry-optimized V2Co9Mo structure. Source: the Alexandria database, functional PBE.

Cell and atoms, written as CIF:
```
data_V2Co9Mo
_chemical_formula_sum 'V6 Co27 Mo3'
_cell_length_a 5.0284
_cell_length_b 5.0284
_cell_length_c 18.2658
_cell_angle_alpha 90.00
_cell_angle_beta 90.00
_cell_angle_gamma 120.00
_space_group_name_H-M_alt 'R 3 m'
_space_group_IT_number 160
_space_group_name_Hall 'R 3 -2"'
loop_
_atom_site_label
_atom_site_type_symbol
_atom_site_fract_x
_atom_site_fract_y
_atom_site_fract_z
V1 V 0.0000 0.0000 0.0000
V2 V 0.0000 0.0000 0.2175
Co1 Co 0.0030 0.5015 0.9987
Co2 Co 0.0098 0.5049 0.2231
Co3 Co 0.1711 0.3423 0.1103
Mo1 Mo 0.0000 0.0000 0.7802
```

The density of states at the Fermi level is 35.991 states/eV/cell. As for the energy of formation from the pure elements: -0.12 eV/atom. As for the density: 9.1 Mg/m³. The calculation puts the energy above the lowest structure with this stoichiometry at 0.0000 eV per atom.

Record 10
A geometry-optimized VCo4Mo structure. Source: the Alexandria database, functional PBE.

Cell and atoms, written as CIF:
```
data_VCo4Mo
_chemical_formula_sum 'V4 Co16 Mo4'
_cell_length_a 6.575
_cell_length_b 6.575
_cell_length_c 6.575
_cell_angle_alpha 90.00
_cell_angle_beta 90.00
_cell_angle_gamma 90.00
_space_group_name_H-M_alt 'F -4 3 m'
_space_group_IT_number 216
_space_group_name_Hall 'F -4 2 3'
loop_
_atom_site_label
_atom_site_type_symbol
_atom_site_fract_x
_atom_site_fract_y
_atom_site_fract_z
V1 V 0.000 0.000 0.000
Co1 Co 0.125 0.125 0.375
Mo1 Mo 0.250 0.250 0.750
```

The density of states at the Fermi level is 42.481 states/eV/cell. As for the energy of formation from the pure elements: 0.01 eV/atom. As for the density: 8.9 Mg/m³. The calculation puts the energy above the lowest structure with this stoichiometry at 0.0000 eV per atom.

Look up the energy of formation from the pure elements of the first one. 0.00 eV/atom

What is the density in the eighth record? 9.3 Mg/m³

Which value of energy of formation from the pure elements does entry 4 give? 0.72 eV/atom